Entry 1:
A plane-wave DFT calculation with PBE was carried out for a relaxed structure of Sb2MoRu.

Calculated values
**Energy relative to the elements, uncorrected**: 820 meV per atom
**Density**: 6.64 g cm⁻³
**ΔE to the lowest computed polymorph**: 17.28 kcal/mol of atoms
**Symmetry**: I-42d

```
8
Lattice="-3.015 3.015 6.061 3.015 -3.015 6.061 3.015 3.015 -6.061" Properties=species:S:1:pos:R:3 pbc="T T T"
Sb 4.523 1.396 -1.515
Sb 1.396 1.508 1.515
Sb -1.508 1.619 4.546
Sb 1.619 1.508 7.577
Mo 3.015 0.000 3.031
Mo 0.000 0.000 6.061
Ru 0.000 0.000 0.000
Ru 0.000 3.015 3.031
```

Entry 2:
A plane-wave DFT calculation with PBE was carried out for a relaxed structure of GeHI.

Calculated values
**Density**: 4.96 g cm⁻³
**ΔE to the lowest computed polymorph**: 11.05 kcal/mol of atoms
**Symmetry**: I4mm

```
3
Lattice="-1.704 1.704 5.788 1.704 -1.704 5.788 1.704 1.704 -5.788" Properties=species:S:1:pos:R:3 pbc="T T T"
Ge 0.000 0.000 0.000
H 0.000 0.000 5.721
I 0.000 0.000 8.912
```

Entry 3:
A plane-wave DFT calculation with PBE was carried out for a relaxed structure of Sm4C2Cl3.

Calculated values
**Energy relative to the elements, uncorrected**: -1265 meV per atom
**Density**: 5.71 g cm⁻³
**ΔE to the lowest computed polymorph**: 0.00 kcal/mol of atoms
**Symmetry**: C2/m

```
9
Lattice="3.280 -1.893 0.000 3.280 1.893 0.000 -0.014 0.000 17.135" Properties=species:S:1:pos:R:3 pbc="T T T"
Sm 0.000 0.000 4.901
Sm 2.186 0.000 2.160
Sm 4.359 0.000 14.975
Sm 6.546 0.000 12.235
C 2.173 0.000 13.714
C 4.373 0.000 3.421
Cl 0.000 0.000 0.000
Cl 2.186 0.000 6.681
Cl 4.360 0.000 10.454
```

Entry 4:
A plane-wave DFT calculation with PBE was carried out for a relaxed structure of Nd2Sm3Ho2.

Calculated values
**Density**: 7.61 g cm⁻³
**ΔE to the lowest computed polymorph**: 0.00 kcal/mol of atoms
**Symmetry**: P-1
**Energy relative to the elements**: 0.014 eV/atom

```
7
Lattice="3.619 0.000 0.000 -1.797 5.972 0.000 -0.006 -1.083 10.791" Properties=species:S:1:pos:R:3 pbc="T T T"
Nd 0.004 2.189 3.836
Nd 1.812 2.700 6.955
Sm 0.000 3.267 10.035
Sm 1.807 -0.542 5.395
Sm 1.816 1.622 0.756
Ho 0.000 -0.011 8.496
Ho 1.816 4.900 2.294
```

Look up the density of the second one.
4.96 g cm⁻³

Copy entry 2 word for word.
A plane-wave DFT calculation with PBE was carried out for a relaxed structure of GeHI.

Calculated values
**Density**: 4.96 g cm⁻³
**ΔE to the lowest computed polymorph**: 11.05 kcal/mol of atoms
**Symmetry**: I4mm

```
3
Lattice="-1.704 1.704 5.788 1.704 -1.704 5.788 1.704 1.704 -5.788" Properties=species:S:1:pos:R:3 pbc="T T T"
Ge 0.000 0.000 0.000
H 0.000 0.000 5.721
I 0.000 0.000 8.912
```

The highest ΔE to the lowest computed polymorph belongs to which entry?
Sb2MoRu